Entry one
Density functional theory data (PBE-GGA) for a geometry-optimized LaZr2Co structure.

Geometry as POSCAR:
```
LaZr2Co
1.0
-3.906 1.160 2.929
2.223 -2.290 3.872
1.476 2.851 0.839
Zr Co La
2 1 1
Cartesian
0.000 0.000 0.000
-0.841 -0.565 3.400
-1.215 2.006 1.884
1.850 0.280 2.355
```

Values from the calculation:
Symmetry   P4/mmm, No. 123

=====

Entry two
Density functional theory data (PBE-GGA) for a geometry-optimized LaZr2Co structure.

Geometry as POSCAR:
```
LaZr2Co
1.0
-4.974 0.536 2.931
-4.857 -2.635 1.757
0.083 -1.902 5.142
Zr Co La
2 1 1
Cartesian
-7.887 -2.927 7.117
0.035 -1.847 4.988
-4.745 -2.233 5.555
-1.943 -0.897 2.228
```

Values from the calculation:
Symmetry   Cm, No. 8

=====

Which of them is the most stable, and which is the least stable? entry two and entry one, in that order.

=====

Entry one
Density functional theory data (PBE-GGA) for a geometry-optimized LaZr2Co structure.

Geometry as POSCAR:
```
LaZr2Co
1.0
-0.018 -0.373 -5.307
-3.324 -2.365 0.178
-2.372 3.317 -0.225
Co Zr La
1 2 1
Cartesian
-1.671 -1.369 -2.565
0.000 0.000 0.000
-2.848 0.476 -0.024
-1.195 1.472 -2.766
```

Values from the calculation:
Symmetry   P4/mmm, No. 123

=====

Entry two
Density functional theory data (PBE-GGA) for a geometry-optimized LaZr2Co structure.

Geometry as POSCAR:
```
LaZr2Co
1.0
6.015 0.000 0.000
3.241 5.067 0.000
-4.628 -2.533 2.888
Zr Co La
2 1 1
Cartesian
4.628 2.533 0.000
0.000 0.000 0.000
3.007 0.000 1.444
1.621 2.533 1.444
```

Values from the calculation:
Symmetry   I4/mmm, No. 139

=====

Which of them is the most stable, and which is the least stable? entry two and entry one, in that order.

=====

Entry one
Density functional theory data (PBE-GGA) for a geometry-optimized LaZr2Co structure.

Geometry as POSCAR:
```
LaZr2Co
1.0
-4.180 -3.013 -5.794
-3.657 -6.003 -3.273
-6.492 -3.339 -2.613
Co Zr La
1 2 1
Cartesian
-3.582 -3.089 -2.920
-7.646 -6.593 -6.232
-13.848 -11.940 -11.287
-10.747 -9.266 -8.759
```

Values from the calculation:
Symmetry   R-3m, No. 166

=====

Entry two
Density functional theory data (PBE-GGA) for a geometry-optimized LaZr2Co structure.

Geometry as POSCAR:
```
LaZr2Co
1.0
-3.170 0.716 -0.414
-0.204 -2.278 -2.375
-2.194 -7.853 3.218
Zr La Co
2 1 1
Cartesian
-0.339 -2.667 -2.017
-1.065 -4.677 0.064
-3.384 -7.240 0.425
-2.185 -2.175 0.004
```

Values from the calculation:
Symmetry   P2/m, No. 10

=====

Which of them is the most stable, and which is the least stable? entry two and entry one, in that order.

=====

Entry one
Density functional theory data (PBE-GGA) for a geometry-optimized Li5Co3 structure.

Geometry as POSCAR:
```
Li5Co3
1.0
-2.472 -6.326 6.179
1.453 2.344 -8.758
4.797 0.241 1.401
Co Li
6 10
Cartesian
3.492 -3.173 4.322
1.577 -3.109 -1.395
2.087 -1.118 -0.105
5.454 1.163 -3.147
-0.822 -3.229 -2.095
-0.312 -1.238 -0.805
0.108 -3.242 0.684
3.547 -0.990 -2.190
4.559 1.245 -6.042
1.093 -3.293 3.622
-0.904 -5.478 4.537
2.596 -3.090 1.427
1.058 -1.143 -2.931
2.071 1.093 -6.785
3.055 1.042 -3.847
1.585 -5.326 5.279
```

Values from the calculation:
Symmetry   Pm, No. 6

=====

Entry two
Density functional theory data (PBE-GGA) for a geometry-optimized Li5Co3 structure.

Geometry as POSCAR:
```
Li5Co3
1.0
2.666 -4.427 0.000
2.666 4.427 0.000
0.000 0.000 4.209
Li Co
5 3
Cartesian
1.333 2.213 0.000
0.000 0.000 0.000
1.333 -2.213 0.000
2.666 2.209 2.105
2.666 -2.209 2.105
1.426 0.000 2.105
2.666 0.000 0.000
3.906 0.000 2.105
```

Values from the calculation:
Symmetry   Cmmm, No. 65

=====

Entry three
Density functional theory data (PBE-GGA) for a geometry-optimized Li5Co3 structure.

Geometry as POSCAR:
```
Li5Co3
1.0
7.654 0.000 0.000
-3.827 6.628 0.000
0.000 0.000 4.376
Li Co
10 6
Cartesian
1.805 0.000 1.094
-0.902 1.563 1.094
5.849 0.000 3.282
0.902 1.563 3.282
3.827 2.209 2.188
0.000 4.419 0.000
0.000 4.419 2.188
3.827 2.209 0.000
2.924 5.065 1.094
-2.924 5.065 3.282
1.671 2.894 1.094
4.312 0.000 1.094
2.156 3.735 3.282
3.341 0.000 3.282
-2.156 3.735 1.094
-1.671 2.894 3.282
```

Values from the calculation:
Symmetry   P6_3/mcm, No. 193

=====

Which of them is the most stable, and which is the least stable? entry one and entry three, in that order.

=====

Entry one
Density functional theory data (PBE-GGA) for a geometry-optimized Li2MgCo2 structure.

Geometry as POSCAR:
```
Li2MgCo2
1.0
3.563 0.000 0.000
0.000 3.563 0.000
1.781 1.781 6.007
Li Mg Co
2 1 2
Cartesian
1.781 3.563 3.003
3.563 1.781 3.003
0.000 0.000 0.000
1.781 1.781 1.078
3.563 3.563 4.929
```

Values from the calculation:
Symmetry   I4/mmm, No. 139

=====

Entry two
Density functional theory data (PBE-GGA) for a geometry-optimized Li2MgCo2 structure.

Geometry as POSCAR:
```
Li2MgCo2
1.0
-0.086 -4.519 5.617
6.526 -2.435 -1.860
1.145 1.893 1.540
Li Co Mg
4 4 2
Cartesian
1.736 -0.933 2.215
5.850 -4.128 3.082
5.010 -1.539 0.526
2.575 -3.522 4.772
0.656 -3.013 3.216
3.894 -5.510 3.876
5.784 -3.940 0.541
2.546 -1.443 -0.119
0.000 0.000 0.000
3.220 -3.477 1.879
```

Values from the calculation:
Symmetry   P4/mbm, No. 127

=====

Which of them is the most stable, and which is the least stable? entry two and entry one, in that order.

=====

Entry one
Density functional theory data (PBE-GGA) for a geometry-optimized LiMgCo structure.

Geometry as POSCAR:
```
LiMgCo
1.0
-4.833 -3.536 -2.482
-1.512 -5.227 -3.524
3.131 3.308 4.613
Mg Co Li
1 1 1
Cartesian
-4.126 -5.698 -3.905
-6.336 -8.751 -5.997
-2.228 -3.076 -2.108
```

Values from the calculation:
Symmetry   I4mm, No. 107

=====

Entry two
Density functional theory data (PBE-GGA) for a geometry-optimized LiMgCo structure.

Geometry as POSCAR:
```
LiMgCo
1.0
-0.266 -3.948 -0.404
1.095 0.438 -5.000
4.720 1.528 1.544
Li Co Mg
2 2 2
Cartesian
4.313 -0.302 0.111
1.236 -1.680 -3.971
2.415 -2.166 -0.001
3.133 0.184 -3.860
3.806 -2.013 -2.410
1.743 0.031 -1.451
```

Values from the calculation:
Symmetry   C2/m, No. 12

=====

Entry three
Density functional theory data (PBE-GGA) for a geometry-optimized LiMgCo structure.

Geometry as POSCAR:
```
LiMgCo
1.0
-2.245 3.050 -2.033
-4.227 0.373 0.684
-1.534 3.363 2.195
Co Mg Li
1 1 1
Cartesian
-6.005 5.089 0.635
-4.003 3.393 0.423
0.000 0.000 0.000
```

Values from the calculation:
Symmetry   F-43m, No. 216

=====

Entry four
Density functional theory data (PBE-GGA) for a geometry-optimized LiMgCo structure.

Geometry as POSCAR:
```
LiMgCo
1.0
4.752 0.008 0.004
2.340 4.136 -0.004
-3.106 -2.825 2.225
Mg Co Li
1 1 1
Cartesian
4.689 2.740 0.000
7.087 4.141 0.000
2.408 1.407 0.000
```

Values from the calculation:
Symmetry   Imm2, No. 44

=====

Which of them is the most stable, and which is the least stable? entry two and entry three, in that order.

=====

Entry one
Density functional theory data (PBE-GGA) for a geometry-optimized Li2MnCo structure.

Geometry as POSCAR:
```
Li2MnCo
1.0
-8.299 -3.268 -1.871
-7.096 -4.320 -3.747
-7.156 -5.427 -1.546
Co Mn Li
1 1 2
Cartesian
-16.913 -9.762 -5.372
-5.638 -3.254 -1.791
-11.229 -6.481 -3.567
-0.047 -0.027 -0.015
```

Values from the calculation:
Symmetry   R-3m, No. 166

=====

Entry two
Density functional theory data (PBE-GGA) for a geometry-optimized Li2MnCo structure.

Geometry as POSCAR:
```
Li2MnCo
1.0
3.177 0.000 0.000
0.000 3.177 0.000
0.000 0.000 5.122
Li Mn Co
2 1 1
Cartesian
0.000 0.000 5.015
0.000 0.000 2.668
1.589 1.589 1.280
1.589 1.589 3.841
```

Values from the calculation:
Symmetry   P4/mmm, No. 123

=====

Which of them is the most stable, and which is the least stable? entry one and entry two, in that order.

=====

Entry one
Density functional theory data (PBE-GGA) for a geometry-optimized Li2MnCo structure.

Geometry as POSCAR:
```
Li2MnCo
1.0
4.950 0.001 0.000
2.551 4.243 0.000
-3.751 -2.122 2.437
Mn Co Li
1 1 2
Cartesian
1.275 2.121 1.218
2.475 0.001 1.218
0.000 0.000 0.000
3.751 2.122 0.000
```

Values from the calculation:
Symmetry   I4/mmm, No. 139

=====

Entry two
Density functional theory data (PBE-GGA) for a geometry-optimized Li2MnCo structure.

Geometry as POSCAR:
```
Li2MnCo
1.0
-0.816 -1.051 3.316
-1.899 -1.293 -0.877
1.435 -5.786 -1.481
Mn Li Co
1 2 1
Cartesian
-0.070 -3.758 -1.208
1.406 -5.745 -1.475
-0.505 -2.322 1.065
-0.908 -5.630 -0.083
```

Values from the calculation:
Symmetry   Pmm2, No. 25

=====

Which of them is the most stable, and which is the least stable? entry two and entry one, in that order.